First-principles (GGA-PBE) data for a relaxed EuPaSnAu crystal, as listed in Alexandria.

Unit cell a=7.5184 b=7.5184 c=7.5184 alpha=90.00 beta=90.00 gamma=90.00
Space group F-43m (No. 216)
Inequivalent atoms, fractional coordinates:
Eu  0.0000  0.0000  0.0000 [4 per cell]
Pa  0.0000  0.0000  0.5000 [4 per cell]
Sn  0.2500  0.2500  0.7500 [4 per cell]
Au  0.2500  0.2500  0.2500 [4 per cell]

energy of formation from the pure elements = -0.277 eV per atom
total magnetization = 1.628 μB per atom